Computed, not measured: Mg2CdSi after structural relaxation at the PBE level of DFT.

Its spin magnetization is 0.00 μB per formula unit. The calculation puts the density of states at the Fermi level at 0.381 states/eV per atom. The crystal system is tetragonal. As for the raw formation energy: 0.06 eV per atom. For the density, the calculation gives 3.96 Mg/m³.

The space group is I-4m2 (No. 119) and the conventional cell measures 4.2131, 4.2131 and 8.9414 Å, with angles of 90.00, 90.00 and 90.00 degrees. The asymmetric unit holds Mg at (0.0000, 0.0000, 0.0000), Mg at (0.0000, 0.5000, 0.2500), Cd at (0.0000, 0.0000, 0.5000) and Si at (0.0000, 0.5000, 0.7500).